Entry 1:
# UPIrRu, optimized geometry, DFT PBE
data_UPIrRu
_chemical_formula_sum 'U2 P2 Ir2 Ru2'
_symmetry_space_group_name_H-M 'I m m 2'
_symmetry_Int_Tables_number 44
_cell_length_a 3.950
_cell_length_b 3.958
_cell_length_c 9.527
_cell_angle_alpha 90.00
_cell_angle_beta 90.00
_cell_angle_gamma 90.00
loop_
_symmetry_equiv_pos_as_xyz
'x,y,z'
'-x,-y,z'
'-x,y,z'
'x,-y,z'
'x+1/2,y+1/2,z+1/2'
'-x+1/2,-y+1/2,z+1/2'
'-x+1/2,y+1/2,z+1/2'
'x+1/2,-y+1/2,z+1/2'
loop_
_atom_site_label
_atom_site_fract_x
_atom_site_fract_y
_atom_site_fract_z
U1 0.000 0.000 0.000
P1 0.000 0.500 0.247
Ir1 0.000 0.000 0.363
Ru1 0.000 0.000 0.634
# ΔH_f (0 K), meV/atom: -363

***

Entry 2:
# FeTcP, optimized geometry, DFT PBE
data_FeTcP
_chemical_formula_sum 'Fe1 Tc1 P1'
_symmetry_space_group_name_H-M 'P 3 m 1'
_symmetry_Int_Tables_number 156
_cell_length_a 2.7344
_cell_length_b 2.7344
_cell_length_c 5.7031
_cell_angle_alpha 90.00
_cell_angle_beta 90.00
_cell_angle_gamma 120.00
loop_
_symmetry_equiv_pos_as_xyz
'x,y,z'
'-y,x-y,z'
'-x+y,-x,z'
'-y,-x,z'
'-x+y,y,z'
'x,x-y,z'
loop_
_atom_site_label
_atom_site_fract_x
_atom_site_fract_y
_atom_site_fract_z
Fe1 0.0000 0.0000 0.0000
Tc1 0.3333 0.6667 0.6321
P1 0.6667 0.3333 0.2904
# Offset from the most stable computed form, meV/atom: 535
# ΔH_f (0 K), meV/atom: -45

***

Entry 3:
# GaSnHg14, optimized geometry, DFT PBE
data_GaSnHg14
_chemical_formula_sum 'Ga2 Sn2 Hg28'
_symmetry_space_group_name_H-M 'A m m 2'
_symmetry_Int_Tables_number 38
_cell_length_a 10.970
_cell_length_b 6.970
_cell_length_c 11.158
_cell_angle_alpha 90.00
_cell_angle_beta 90.00
_cell_angle_gamma 90.00
loop_
_symmetry_equiv_pos_as_xyz
'x,y,z'
'-x,-y,z'
'-x,y,z'
'x,-y,z'
'x,y+1/2,z+1/2'
'-x,-y+1/2,z+1/2'
'-x,y+1/2,z+1/2'
'x,-y+1/2,z+1/2'
loop_
_atom_site_label
_atom_site_fract_x
_atom_site_fract_y
_atom_site_fract_z
Ga1 0.000 0.000 0.000
Sn1 0.000 0.000 0.472
Hg1 0.000 0.243 0.742
Hg2 0.240 0.000 0.874
Hg3 0.254 0.249 0.622
Hg4 0.261 0.000 0.370
Hg5 0.500 0.000 0.090
Hg6 0.500 0.000 0.590
Hg7 0.500 0.244 0.842
# ΔH_f (0 K), meV/atom: 40

***

Entry 4:
# PaBiOs, optimized geometry, DFT PBE
data_PaBiOs
_chemical_formula_sum 'Pa4 Bi4 Os4'
_symmetry_space_group_name_H-M 'C 1 2/m 1'
_symmetry_Int_Tables_number 12
_cell_length_a 12.084
_cell_length_b 3.946
_cell_length_c 6.552
_cell_angle_alpha 90.00
_cell_angle_beta 100.18
_cell_angle_gamma 90.00
loop_
_symmetry_equiv_pos_as_xyz
'x,y,z'
'-x,-y,-z'
'-x,y,-z'
'x,-y,z'
'x+1/2,y+1/2,z'
'-x+1/2,-y+1/2,-z'
'-x+1/2,y+1/2,-z'
'x+1/2,-y+1/2,z'
loop_
_atom_site_label
_atom_site_fract_x
_atom_site_fract_y
_atom_site_fract_z
Pa1 0.156 0.000 0.204
Bi1 0.073 0.500 0.778
Os1 0.205 0.000 0.618
# ΔH_f (0 K), meV/atom: -12

***

Entry 5:
# Na3Mg, optimized geometry, DFT PBE
data_Na3Mg
_chemical_formula_sum 'Na3 Mg1'
_symmetry_space_group_name_H-M 'P 4/m m m'
_symmetry_Int_Tables_number 123
_symmetry_space_group_name_Hall '-P 4 2'
_cell_length_a 5.128
_cell_length_b 5.128
_cell_length_c 4.932
_cell_angle_alpha 90.00
_cell_angle_beta 90.00
_cell_angle_gamma 90.00
loop_
_atom_site_label
_atom_site_fract_x
_atom_site_fract_y
_atom_site_fract_z
Na1 0.000 0.000 0.000
Na2 0.000 0.500 0.500
Mg1 0.500 0.500 0.000
# ΔH_f (0 K), meV/atom: 88

***

Entry 6:
# PrPt4O12, optimized geometry, DFT PBE
data_PrPt4O12
_chemical_formula_sum 'Pr2 Pt8 O24'
_symmetry_space_group_name_H-M 'I m -3'
_symmetry_Int_Tables_number 204
_symmetry_space_group_name_Hall '-I 2 2 3'
_cell_length_a 7.526
_cell_length_b 7.526
_cell_length_c 7.526
_cell_angle_alpha 90.00
_cell_angle_beta 90.00
_cell_angle_gamma 90.00
loop_
_atom_site_label
_atom_site_fract_x
_atom_site_fract_y
_atom_site_fract_z
Pr1 0.000 0.000 0.000
Pt1 0.250 0.250 0.250
O1 0.000 0.171 0.297
# Uncorrected formation energy, eV per atom: -0.5738

***

no.,N(E_F) (states/eV/f.u.),final energy (eV for the cell shown)
1,6.462,-72.570
2,2.237,-24.373
3,2.853,-21.243
4,1.670,-98.569
5,1.775,-5.202
6,18.727,-196.391